Entry 1:
A geometry-optimized CdCoPb2 structure. Source: Alexandria, functional PBEsol.

It has space group P2/m (No. 10), with a = 3.2103 Å, b = 3.2128 Å, c = 8.5098 Å, α = 90.00°, β = 91.71° and γ = 90.00°. The inequivalent atoms are Cd at (0.0000, 0.0000, 0.0000), Co at (0.0000, 0.0000, 0.5000) and Pb at (0.4874, 0.5000, 0.3062).

The volume is 21.93 A^3/atom. For the energy of formation from the pure elements, the calculation gives 0.304 eV per atom.

***

Entry 2:
A geometry-optimized TlGa2As2 structure. Source: Alexandria, functional PBEsol.

It has space group I4/mmm (No. 139), with a = 4.1465 Å, b = 4.1465 Å, c = 13.3643 Å, α = 90.00°, β = 90.00° and γ = 90.00°. The inequivalent atoms are Tl at (0.0000, 0.0000, 0.0000), Ga at (0.0000, 0.5000, 0.2500) and As at (0.0000, 0.0000, 0.3669).

The volume is 22.98 A^3/atom. For the energy of formation from the pure elements, the calculation gives -0.052 eV per atom.

***

Entry 3:
A geometry-optimized Zr2ZnF structure. Source: Alexandria, functional PBEsol.

It has space group Fm-3m (No. 225), with a = 6.4115 Å, b = 6.4115 Å, c = 6.4115 Å, α = 90.00°, β = 90.00° and γ = 90.00°. The inequivalent atoms are Zr at (0.2500, 0.2500, 0.2500), Zn at (0.0000, 0.0000, 0.0000) and F at (0.0000, 0.0000, 0.5000).

The volume is 16.47 A^3/atom. For the formation energy without anion corrections, the calculation gives -0.608 eV/atom.

***

Entry 4:
A geometry-optimized SiBW2 structure. Source: Alexandria, functional PBEsol.

It has space group I-42d (No. 122), with a = 4.8706 Å, b = 4.8706 Å, c = 11.4136 Å, α = 90.00°, β = 90.00° and γ = 90.00°. The inequivalent atoms are Si at (0.0000, 0.0000, 0.0000), B at (0.0000, 0.0000, 0.5000) and W at (0.1716, 0.2500, 0.6250).

The volume is 16.92 A^3/atom. For the formation energy without anion corrections, the calculation gives 1.155 eV/atom.

***

Entry 5:
A geometry-optimized FePCl structure. Source: Alexandria, functional PBEsol.

It has space group F-43m (No. 216), with a = 5.9298 Å, b = 5.9298 Å, c = 5.9298 Å, α = 90.00°, β = 90.00° and γ = 90.00°. The inequivalent atoms are Fe at (0.0000, 0.0000, 0.0000), P at (0.2500, 0.2500, 0.2500) and Cl at (0.0000, 0.0000, 0.5000).

The volume is 17.38 A^3/atom. For the formation energy without anion corrections, the calculation gives 0.885 eV/atom. The value obtained for the excess energy over the best structure of this formula in the dataset is 1.360 eV per atom.

***

Entry 6:
A geometry-optimized La6ZnSi2S14 structure. Source: Alexandria, functional PBEsol.

It has space group P3 (No. 143), with a = 10.2146 Å, b = 10.2146 Å, c = 5.6942 Å, α = 90.00°, β = 90.00° and γ = 120.00°. The inequivalent atoms are La at (0.0238, 0.4587, 0.0000), La at (0.3104, 0.2097, 0.4952), Zn at (0.6667, 0.3333, 0.7439), Si at (0.0000, 0.0000, 0.0776), Si at (0.3333, 0.6667, 0.5853), S at (0.0000, 0.0000, 0.7091), S at (0.0772, 0.2207, 0.2193), S at (0.1905, 0.7451, 0.7248), S at (0.3333, 0.6667, 0.2160), S at (0.4230, 0.2478, 0.9752) and S at (0.5057, 0.0892, 0.4972).

The volume is 22.37 A^3/atom. For the formation energy without anion corrections, the calculation gives -1.747 eV/atom.

***

Entry 7:
A geometry-optimized NaAu3F structure. Source: Alexandria, functional PBEsol.

It has space group Pm-3m (No. 221), with a = 4.6158 Å, b = 4.6158 Å, c = 4.6158 Å, α = 90.00°, β = 90.00° and γ = 90.00°. The inequivalent atoms are Na at (0.0000, 0.0000, 0.0000), Au at (0.0000, 0.5000, 0.5000) and F at (0.5000, 0.5000, 0.5000).

The volume is 19.67 A^3/atom. For the formation energy without anion corrections, the calculation gives 0.243 eV/atom. The value obtained for the excess energy over the best structure of this formula in the dataset is 0.000 eV per atom.

***

Entry 8:
A geometry-optimized MgIrRh2 structure. Source: Alexandria, functional PBEsol.

It has space group Pmmm (No. 47), with a = 2.7400 Å, b = 3.8016 Å, c = 5.4617 Å, α = 90.00°, β = 90.00° and γ = 90.00°. The inequivalent atoms are Mg at (0.0000, 0.0000, 0.0000), Ir at (0.0000, 0.0000, 0.5000) and Rh at (0.5000, 0.5000, 0.2593).

The volume is 14.22 A^3/atom. For the energy of formation from the pure elements, the calculation gives -0.137 eV per atom.